#1
{"formula": "InS2I", "functional": "PBEsol", "state": "optimized geometry", "lattice": [[-3.707, 3.707, 3.631], [3.707, -3.707, 3.631], [3.707, 3.707, -3.631]], "species": ["In", "In", "S", "S", "S", "S", "I", "I"], "frac_coords": [[0.000, 0.000, 0.000], [0.750, 0.250, 0.500], [0.065, 0.625, 0.940], [0.375, 0.315, 0.440], [0.685, 0.125, 0.060], [0.875, 0.935, 0.560], [0.250, 0.750, 0.500], [0.500, 0.500, 0.000]], "dos_ef_per_ev_atom": 1.0423, "spacegroup": "No. 122"}

#2
{"formula": "InS2I", "functional": "PBEsol", "state": "optimized geometry", "lattice": [[1.975, 1.140, 7.889], [-1.975, 1.140, 7.889], [0.000, -2.281, 7.889]], "species": ["In", "S", "S", "I"], "frac_coords": [[0.000, 0.000, 0.000], [0.390, 0.390, 0.390], [0.610, 0.610, 0.610], [0.500, 0.500, 0.500]], "dos_ef_per_ev_atom": 0.2087, "spacegroup": "No. 166"}

Quick one: least stable of them? #1